Entry from Alexandria via LeMat-Bulk: an optimized crystal structure of BiSOF2 (PBE).

## Properties
Space group: P4/mmm (123)
Excess energy over the best structure of this formula in the dataset: 1.32 eV per formula unit
Crystal system: tetragonal
E_form (uncorrected): -0.521 eV per atom

abc: 4.947 4.947 3.351
angles: 90.00 90.00 90.00
Fractional positions:
S  0.000  0.000  0.000
Bi  0.500  0.500  0.500
O  0.000  0.000  0.500
F  0.000  0.500  0.000
F  0.500  0.000  0.000



Entry from Alexandria via LeMat-Bulk: an optimized crystal structure of MgVCo2 (PBE).

## Properties
Space group: P4/mmm (123)
Crystal system: tetragonal
ΔE_f: 0.0347 eV per atom

abc: 2.844 4.197 4.197
angles: 90.00 90.00 90.00
Site moments in Bohr magnetons follow the coordinates.
Fractional positions:
Mg  0.500  0.000  0.000  -0.01
Co  0.000  0.000  0.500  0.59
Co  0.000  0.500  0.000  0.59
V  0.500  0.500  0.500  0.04



Entry from Alexandria via LeMat-Bulk: an optimized crystal structure of InNiAg (PBE).

## Properties
Space group: Cm (8)
Excess energy over the best structure of this formula in the dataset: 0.64 eV per formula unit
Crystal system: monoclinic
ΔE_f: 0.1874 eV per atom

abc: 6.612 3.115 5.287
angles: 90.00 105.52 90.00
Fractional positions:
In  0.036  0.000  0.983
In  0.036  0.500  0.483
Ni  0.731  0.000  0.543
Ni  0.731  0.500  0.043
Ag  0.414  0.000  0.775
Ag  0.414  0.500  0.275



Entry from Alexandria via LeMat-Bulk: an optimized crystal structure of BeNi3N (PBE).

## Properties
Space group: Pm-3m (221)
Excess energy over the best structure of this formula in the dataset: 0.00 eV per formula unit
Crystal system: cubic
E_form (uncorrected): -0.047 eV per atom

abc: 3.683 3.683 3.683
angles: 90.00 90.00 90.00
Fractional positions:
Ni  0.000  0.500  0.000
Ni  0.000  0.000  0.500
Ni  0.500  0.000  0.000
Be  0.500  0.500  0.500
N  0.000  0.000  0.000



Entry from Alexandria via LeMat-Bulk: an optimized crystal structure of Tm5PuIr6 (PBE).

## Properties
Space group: Cmmm (65)
Crystal system: orthorhombic
ΔE_f: -0.8134 eV per atom

abc: 4.700 7.048 7.440
angles: 90.00 71.59 90.00
Site moments in Bohr magnetons follow the coordinates.
Fractional positions:
Tm  0.667  0.500  0.666  0.04
Tm  0.332  0.000  0.335  0.03
Tm  0.000  0.500  0.000  0.02
Tm  0.668  0.000  0.665  0.03
Tm  0.333  0.500  0.334  0.04
Ir  0.834  0.749  0.332  -0.07
Ir  0.834  0.251  0.332  -0.07
Ir  0.500  0.251  0.000  -0.11
Ir  0.500  0.749  0.000  -0.11
Ir  0.166  0.749  0.668  -0.07
Ir  0.166  0.251  0.668  -0.07
Pu  0.000  0.000  0.000  4.71



Entry from Alexandria via LeMat-Bulk: an optimized crystal structure of SrNpIn2F8 (PBE).

## Properties
Space group: P2/m (10)
Crystal system: monoclinic
E_form (uncorrected): -2.980 eV per atom

abc: 4.038 6.625 8.191
angles: 90.00 90.00 90.07
Site moments in Bohr magnetons follow the coordinates.
Fractional positions:
Sr  0.000  0.000  0.500  0.00
Np  0.000  0.000  0.000  3.07
In  0.500  0.500  0.734  -0.01
In  0.500  0.500  0.266  -0.01
F  0.000  0.802  0.221  -0.01
F  0.500  0.815  0.000  -0.01
F  0.000  0.198  0.221  -0.01
F  0.000  0.198  0.779  -0.01
F  0.500  0.185  0.000  -0.01
F  0.000  0.802  0.779  -0.01
F  0.500  0.774  0.500  0.00
F  0.500  0.226  0.500  0.00



Entry from Alexandria via LeMat-Bulk: an optimized crystal structure of HgIr2Au (PBE).

## Properties
Space group: P4/mmm (123)
Crystal system: tetragonal
ΔE_f: 0.5935 eV per atom

abc: 4.040 4.080 4.080
angles: 90.00 90.00 90.00
Fractional positions:
Au  0.500  0.500  0.000
Hg  0.500  0.000  0.500
Ir  0.000  0.000  0.000
Ir  0.000  0.500  0.500



Entry from Alexandria via LeMat-Bulk: an optimized crystal structure of Cr2TcPtC (PBE).

## Properties
Space group: P4/mmm (123)
Crystal system: tetragonal
ΔE_f: -0.0224 eV per atom

abc: 3.924 3.924 3.995
angles: 90.00 90.00 90.00
Site moments in Bohr magnetons follow the coordinates.
Fractional positions:
Cr  0.000  0.500  0.000  1.13
Cr  0.500  0.000  0.000  1.13
C  0.000  0.000  0.000  -0.03
Tc  0.000  0.000  0.500  -0.38
Pt  0.500  0.500  0.500  -0.02



Number 1: DOS at the Fermi energy 0.830 states/eV per atom. Number 2: DOS at the Fermi energy 0.778 states/eV per atom. Number 3: DOS at the Fermi energy 0.762 states/eV per atom. Number 4: DOS at the Fermi energy 0.569 states/eV per atom. Number 5: DOS at the Fermi energy 0.965 states/eV per atom. Number 6: DOS at the Fermi energy 0.222 states/eV per atom. Number 7: DOS at the Fermi energy 1.548 states/eV per atom. Number 8: DOS at the Fermi energy 0.980 states/eV per atom.